(1)
This record from the Alexandria database describes crystalline Y6Tl3PSe2 at its relaxed geometry. The functional is PBE.

Computed properties:
D(E_F) = 6.84 states/eV/cell
raw formation energy = -1.063 eV/atom
volume = 321 Å³/cell

extended XYZ file:
```
12
Lattice="6.851 -0.001 0.002 -3.425 5.934 0.002 -1.141 -1.975 7.905" Properties=species:S:1:pos:R:3 pbc="T T T"
Se 0.020 3.945 0.002
Se 3.407 1.988 0.002
Y 3.396 2.042 6.247
Y 0.072 3.962 6.247
Y 2.326 4.028 1.718
Y 2.214 -0.004 1.662
Y -1.110 1.916 1.662
Y -0.040 -0.070 6.191
P 0.000 0.000 0.000
Tl 4.482 0.051 3.954
Tl -2.196 3.907 3.954
Tl 1.143 1.979 3.954
```

---

(2)
This record from the Alexandria database describes crystalline Li2La2TaN4 at its relaxed geometry. The functional is PBE.

Computed properties:
D(E_F) = 2.70 states/eV/cell
raw formation energy = -0.909 eV/atom
volume = 112 Å³/cell

extended XYZ file:
```
9
Lattice="3.286 0.000 0.000 -1.643 6.139 0.048 0.000 -2.092 5.551" Properties=species:S:1:pos:R:3 pbc="T T T"
Ta 0.000 0.000 0.000
N 1.643 2.125 4.474
N 0.000 1.923 1.125
N 1.643 -1.345 4.296
N 0.000 5.393 1.303
Li 0.000 1.883 5.528
Li 1.643 2.165 0.071
La 0.000 0.485 3.154
La 1.643 3.563 2.445
```